No. 1
Here is a geometry-optimized Tm4Hg3Os structure from the Alexandria database. Energies are from PBE.

a b c (Å): 3.503 3.503 15.159
angles (deg): 90.00 90.00 90.00
Space group P4/mmm (No. 123)
Inequivalent atoms, fractional coordinates:
1 Tm 0.000 0.000 0.105
2 Tm 0.000 0.000 0.371
3 Hg 0.500 0.500 0.244
4 Hg 0.500 0.500 0.500
5 Os 0.500 0.500 0.000

Properties
ΔH_f (0 K) in meV/atom: -451

---

No. 2
Here is a geometry-optimized Cr2AgHPd structure from the Alexandria database. Energies are from PBE.

a b c (Å): 4.919 4.919 5.070
angles (deg): 90.00 90.00 90.00
Space group P4/mmm (No. 123)
Inequivalent atoms, fractional coordinates:
1 Cr 0.000 0.500 0.000
2 Ag 0.000 0.000 0.500
3 H 0.500 0.500 0.500
4 Pd 0.000 0.000 0.000

---

No. 3
Here is a geometry-optimized ScNb2Br2 structure from the Alexandria database. Energies are from PBE.

a b c (Å): 4.587 4.587 11.228
angles (deg): 90.00 90.00 90.00
Space group I4/mmm (No. 139)
Inequivalent atoms, fractional coordinates:
1 Sc 0.000 0.000 0.000
2 Nb 0.000 0.000 0.398
3 Br 0.000 0.500 0.250

Properties
Excess energy over the best structure of this formula in the dataset in kJ/mol of atoms: 0.00
Formation energy (no corrections) in kJ/mol of atoms: 28

---

No. 4
Here is a geometry-optimized Mg2ZnW structure from the Alexandria database. Energies are from PBE.

a b c (Å): 2.802 2.802 8.966
angles (deg): 90.00 90.00 90.00
Space group P4mm (No. 99)
Inequivalent atoms, fractional coordinates:
1 Mg 0.000 0.000 0.000
2 Mg 0.500 0.500 0.292
3 Zn 0.500 0.500 0.761
4 W 0.000 0.000 0.537

Properties
ΔH_f (0 K) in meV/atom: 241

---

No. 5
Here is a geometry-optimized RbMg2CrHg structure from the Alexandria database. Energies are from PBE.

a b c (Å): 6.732 6.732 6.451
angles (deg): 90.00 90.00 90.00
Space group P4/mmm (No. 123)
Inequivalent atoms, fractional coordinates:
1 Rb 0.000 0.000 0.000
2 Mg 0.000 0.500 0.000
3 Cr 0.500 0.500 0.500
4 Hg 0.000 0.000 0.500

Properties
ΔH_f (0 K) in meV/atom: 1280

---

No. 6
Here is a geometry-optimized HoUCrC3 structure from the Alexandria database. Energies are from PBE.

a b c (Å): 13.032 3.766 6.720
angles (deg): 90.00 105.24 90.00
Space group C2/m (No. 12)
Inequivalent atoms, fractional coordinates:
1 Ho 0.145 0.000 0.075
2 U 0.148 0.000 0.575
3 Cr 0.002 0.500 0.754
4 C 0.004 0.000 0.266
5 C 0.157 0.500 0.804
6 C 0.167 0.500 0.360

Properties
ΔH_f (0 K) in meV/atom: -150

---

No. 7
Here is a geometry-optimized ScAlInRh2 structure from the Alexandria database. Energies are from PBE.

a b c (Å): 4.880 4.880 4.755
angles (deg): 90.00 90.00 90.00
Space group P4/mmm (No. 123)
Inequivalent atoms, fractional coordinates:
1 Sc 0.000 0.000 0.000
2 Al 0.500 0.500 0.000
3 In 0.500 0.500 0.500
4 Rh 0.000 0.500 0.500

Properties
ΔH_f (0 K) in meV/atom: 676

---

No. 8
Here is a geometry-optimized Cd3Tc structure from the Alexandria database. Energies are from PBE.

a b c (Å): 5.9698 5.9698 9.8024
angles (deg): 90.00 90.00 120.00
Space group P6_3/mmc (No. 194)
Inequivalent atoms, fractional coordinates:
1 Cd 0.0000 0.5000 0.0000
2 Cd 0.1621 0.3241 0.2500
3 Tc 0.0000 0.0000 0.0000
4 Tc 0.3333 0.6667 0.7500

Properties
Excess energy over the best structure of this formula in the dataset in kJ/mol of atoms: 5.30
ΔH_f (0 K) in meV/atom: 309

---

No. 9
Here is a geometry-optimized VAg2Sn structure from the Alexandria database. Energies are from PBE.

a b c (Å): 7.713 7.713 5.562
angles (deg): 90.00 90.00 90.00
Space group I-42d (No. 122)
Inequivalent atoms, fractional coordinates:
1 V 0.000 0.000 0.000
2 Ag 0.243 0.250 0.125
3 Sn 0.000 0.000 0.500

Properties
ΔH_f (0 K) in meV/atom: 466

---

No. 10
Here is a geometry-optimized ZrTcPt structure from the Alexandria database. Energies are from PBE.

a b c (Å): 2.844 2.844 12.648
angles (deg): 90.00 90.00 90.00
Space group I4mm (No. 107)
Inequivalent atoms, fractional coordinates:
1 Zr 0.000 0.000 0.000
2 Tc 0.000 0.000 0.676
3 Pt 0.000 0.000 0.324

Properties
Excess energy over the best structure of this formula in the dataset in kJ/mol of atoms: 0.00
ΔH_f (0 K) in meV/atom: -283

---

No. 11
Here is a geometry-optimized Pr2NdY9 structure from the Alexandria database. Energies are from PBE.

a b c (Å): 5.097 5.097 15.291
angles (deg): 90.00 90.00 90.00
Space group P4/mmm (No. 123)
Inequivalent atoms, fractional coordinates:
1 Pr 0.000 0.000 0.167
2 Nd 0.000 0.000 0.500
3 Y 0.000 0.500 0.000
4 Y 0.000 0.500 0.334
5 Y 0.500 0.500 0.167
6 Y 0.500 0.500 0.500

Properties
ΔH_f (0 K) in meV/atom: 22

---

No. 12
Here is a geometry-optimized Tb2Ga5Co2Cu structure from the Alexandria database. Energies are from PBE.

a b c (Å): 9.353 9.353 3.858
angles (deg): 90.00 90.00 90.00
Space group P4/mbm (No. 127)
Inequivalent atoms, fractional coordinates:
1 Tb 0.184 0.316 0.000
2 Ga 0.000 0.500 0.500
3 Ga 0.057 0.795 0.500
4 Co 0.112 0.612 0.000
5 Cu 0.000 0.000 0.000

Properties
ΔH_f (0 K) in meV/atom: -375

---

No. 13
Here is a geometry-optimized NaMn4Pd5 structure from the Alexandria database. Energies are from PBE.

a b c (Å): 2.962 2.962 18.209
angles (deg): 90.00 90.00 90.00
Space group P4/mmm (No. 123)
Inequivalent atoms, fractional coordinates:
1 Na 0.000 0.000 0.000
2 Mn 0.000 0.000 0.214
3 Mn 0.000 0.000 0.405
4 Pd 0.500 0.500 0.124
5 Pd 0.500 0.500 0.310
6 Pd 0.500 0.500 0.500

Properties
ΔH_f (0 K) in meV/atom: -172

---

No. 14
Here is a geometry-optimized Ta2CuSe2 structure from the Alexandria database. Energies are from PBE.

a b c (Å): 4.521 4.521 10.297
angles (deg): 90.00 90.00 90.00
Space group I4/mmm (No. 139)
Inequivalent atoms, fractional coordinates:
1 Ta 0.000 0.000 0.125
2 Cu 0.000 0.000 0.500
3 Se 0.000 0.500 0.250

Properties
Formation energy (no corrections) in kJ/mol of atoms: 33

---

No. 15
Here is a geometry-optimized PmSb3 structure from the Alexandria database. Energies are from PBE.

a b c (Å): 4.813 4.813 4.813
angles (deg): 90.00 90.00 90.00
Space group Pm-3m (No. 221)
Inequivalent atoms, fractional coordinates:
1 Pm 0.000 0.000 0.000
2 Sb 0.000 0.500 0.500

Properties
Excess energy over the best structure of this formula in the dataset in kJ/mol of atoms: 5.37
Formation energy (no corrections) in kJ/mol of atoms: -44

---

No. 16
Here is a geometry-optimized SrIn structure from the Alexandria database. Energies are from PBE.

a b c (Å): 13.073 4.287 7.927
angles (deg): 90.00 110.52 90.00
Space group Cm (No. 8)
Inequivalent atoms, fractional coordinates:
1 Sr 0.000 0.000 0.000
2 Sr 0.008 0.000 0.540
3 Sr 0.294 0.000 0.168
4 In 0.163 0.500 0.378
5 In 0.205 0.500 0.813
6 In 0.313 0.000 0.644

Properties
ΔH_f (0 K) in meV/atom: -316

---

No. 17
Here is a geometry-optimized K2MnBr4 structure from the Alexandria database. Energies are from PBE.

a b c (Å): 5.370 5.370 16.475
angles (deg): 90.00 90.00 90.00
Space group I4/mmm (No. 139)
Inequivalent atoms, fractional coordinates:
1 K 0.000 0.000 0.139
2 Mn 0.000 0.000 0.500
3 Br 0.000 0.000 0.338
4 Br 0.000 0.500 0.000

Properties
Excess energy over the best structure of this formula in the dataset in kJ/mol of atoms: 3.93
Formation energy (no corrections) in kJ/mol of atoms: -127

---

No. 18
Here is a geometry-optimized Er4Tm5Cd structure from the Alexandria database. Energies are from PBE.

a b c (Å): 3.499 3.499 23.942
angles (deg): 90.00 90.00 90.00
Space group P4/mmm (No. 123)
Inequivalent atoms, fractional coordinates:
1 Er 0.000 0.000 0.103
2 Er 0.000 0.000 0.310
3 Tm 0.500 0.500 0.000
4 Tm 0.500 0.500 0.207
5 Tm 0.500 0.500 0.413
6 Cd 0.000 0.000 0.500

Properties
Excess energy over the best structure of this formula in the dataset in kJ/mol of atoms: 0.00
ΔH_f (0 K) in meV/atom: -41

---

No. 19
Here is a geometry-optimized Hf5ZnIn4 structure from the Alexandria database. Energies are from PBE.

a b c (Å): 3.106 3.106 21.702
angles (deg): 90.00 90.00 90.00
Space group P4/mmm (No. 123)
Inequivalent atoms, fractional coordinates:
1 Hf 0.000 0.000 0.000
2 Hf 0.000 0.000 0.206
3 Hf 0.000 0.000 0.413
4 Zn 0.500 0.500 0.500
5 In 0.500 0.500 0.103
6 In 0.500 0.500 0.309

Properties
ΔH_f (0 K) in meV/atom: -150

---

No. 20
Here is a geometry-optimized CaSm2Tm structure from the Alexandria database. Energies are from PBE.

a b c (Å): 8.174 8.174 8.174
angles (deg): 90.00 90.00 90.00
Space group Fm-3m (No. 225)
Inequivalent atoms, fractional coordinates:
1 Ca 0.000 0.000 0.000
2 Sm 0.250 0.250 0.250
3 Tm 0.000 0.000 0.500

Properties
Excess energy over the best structure of this formula in the dataset in kJ/mol of atoms: 7.81
ΔH_f (0 K) in meV/atom: 131

---

How do the records compare in raw total energy? In the order shown, they have -4.20 -4.66 -5.67 -4.11 -1.54 -9.01 -4.83 -2.97 -4.24 -8.60 -6.02 -4.65 -6.57 -6.61 -4.73 -2.53 -3.89 -4.19 -6.35 -3.85 eV per atom.
How do the records compare in theoretical density? In the order shown, they have 13.1 4.3 5.5 7.0 2.2 10.2 5.8 9.6 7.7 12.5 5.1 8.3 8.1 9.2 7.6 4.8 3.2 9.2 11.2 6.2 g/cm³.